Entry 1:
VASP calculation (PBE) on a relaxed Dy2Hg9Pb crystal.

a = 4.6008 Å, b = 4.6008 Å, c = 14.2954 Å
α = 90.00°, β = 90.00°, γ = 90.00°
Last column: nearest neighbours and their distance in Å.
Element x y z (fractional)
Dy 0.0000 0.0000 0.1695  12 Hg 3.18-3.34
Dy 0.0000 0.0000 0.8305  12 Hg 3.18-3.34
Hg 0.0000 0.5000 0.0000  8 Hg 3.20-3.25, 4 Dy 3.34
Hg 0.0000 0.5000 0.3233  2 Dy 3.18, 8 Hg 3.25-3.42, 2 Pb 3.42
Hg 0.0000 0.5000 0.6767  2 Dy 3.18, 8 Hg 3.25-3.42, 2 Pb 3.42
Hg 0.5000 0.0000 0.0000  8 Hg 3.20-3.25, 4 Dy 3.34
Hg 0.5000 0.0000 0.3233  2 Dy 3.18, 8 Hg 3.25-3.42, 2 Pb 3.42
Hg 0.5000 0.0000 0.6767  2 Dy 3.18, 8 Hg 3.25-3.42, 2 Pb 3.42
Hg 0.5000 0.5000 0.1561  8 Hg 3.20-3.32, 4 Dy 3.26
Hg 0.5000 0.5000 0.5000  4 Pb 3.25, 8 Hg 3.42
Hg 0.5000 0.5000 0.8439  8 Hg 3.20-3.32, 4 Dy 3.26
Pb 0.0000 0.0000 0.5000  12 Hg 3.25-3.42

Output
SG: No. 123
Total moment, Bohr magnetons per cell: 0.00



Entry 2:
VASP calculation (PBE) on a relaxed Dy2Hg4Pb3 crystal.

a = 5.6497 Å, b = 5.6497 Å, c = 10.4730 Å
α = 104.84°, β = 104.84°, γ = 48.32°
Last column: nearest neighbours and their distance in Å.
Element x y z (fractional)
Dy 0.1554 0.1554 0.2110  7 Hg 3.24-3.40, 4 Pb 3.29-3.43
Dy 0.8446 0.8446 0.7890  7 Hg 3.24-3.40, 4 Pb 3.29-3.43
Hg 0.1721 0.1721 0.8918  4 Dy 3.24-3.40, 4 Pb 3.25-3.44, 4 Hg 3.32
Hg 0.4899 0.4899 0.3220  6 Pb 3.26-3.54, 3 Dy 3.27-3.32, 2 Hg 3.32
Hg 0.5101 0.5101 0.6780  6 Pb 3.26-3.54, 3 Dy 3.27-3.32, 2 Hg 3.32
Hg 0.8279 0.8279 0.1082  4 Dy 3.24-3.40, 4 Pb 3.25-3.44, 4 Hg 3.32
Pb 0.1699 0.1699 0.5631  6 Hg 3.26-3.54, 3 Pb 3.32-3.38, 3 Dy 3.43-3.65
Pb 0.5000 0.5000 0.0000  8 Hg 3.25-3.40, 4 Dy 3.29
Pb 0.8301 0.8301 0.4369  6 Hg 3.26-3.54, 3 Pb 3.32-3.38, 3 Dy 3.43-3.65

Output
SG: No. 12
Total moment, Bohr magnetons per cell: 0.00



Entry 3:
VASP calculation (PBE) on a relaxed DyHgPb crystal.

a = 3.5607 Å, b = 3.5607 Å, c = 26.3346 Å
α = 90.00°, β = 90.00°, γ = 90.00°
Last column: nearest neighbours and their distance in Å.
Element x y z (fractional)
Dy 0.0000 0.0000 0.1411  4 Hg 3.16, 4 Pb 3.33
Dy 0.0000 0.0000 0.8589  4 Hg 3.16, 4 Pb 3.33
Dy 0.5000 0.5000 0.3589  4 Hg 3.16, 4 Pb 3.33
Dy 0.5000 0.5000 0.6411  4 Hg 3.16, 4 Pb 3.33
Hg 0.0000 0.0000 0.2863  4 Hg 3.16, 4 Dy 3.16
Hg 0.0000 0.0000 0.7137  4 Hg 3.16, 4 Dy 3.16
Hg 0.5000 0.5000 0.2137  4 Hg 3.16, 4 Dy 3.16
Hg 0.5000 0.5000 0.7863  4 Hg 3.16, 4 Dy 3.16
Pb 0.0000 0.0000 0.4415  1 Pb 3.08, 4 Dy 3.33
Pb 0.0000 0.0000 0.5585  1 Pb 3.08, 4 Dy 3.33
Pb 0.5000 0.5000 0.0585  1 Pb 3.08, 4 Dy 3.33
Pb 0.5000 0.5000 0.9415  1 Pb 3.08, 4 Dy 3.33

Output
SG: No. 139
Total moment, Bohr magnetons per cell: 0.00



Entry 4:
VASP calculation (PBE) on a relaxed Dy4HgPb3 crystal.

a = 4.4463 Å, b = 4.4588 Å, c = 11.6128 Å
α = 90.00°, β = 90.00°, γ = 90.00°
Last column: nearest neighbours and their distance in Å.
Element x y z (fractional)
Dy 0.0000 0.0000 0.0000  1 Hg 3.10, 4 Pb 3.18
Dy 0.0000 0.5000 0.4928  5 Pb 3.11-3.18, 2 Hg 3.44
Dy 0.5000 0.0000 0.7302  7 Pb 3.17-3.50
Dy 0.5000 0.5000 0.2310  3 Pb 3.12-3.41, 4 Hg 3.18
Hg 0.0000 0.0000 0.2669  7 Dy 3.10-3.44, 2 Pb 3.10
Pb 0.0000 0.5000 0.7607  5 Dy 3.11-3.17, 2 Pb 3.23
Pb 0.5000 0.0000 0.4534  2 Hg 3.10, 7 Dy 3.18-3.41
Pb 0.5000 0.5000 0.9627  5 Dy 3.12-3.18, 2 Pb 3.23

Output
SG: No. 25
Total moment, Bohr magnetons per cell: 0.00



Entry 5:
VASP calculation (PBE) on a relaxed Dy4HgPb crystal.

a = 5.1496 Å, b = 5.1496 Å, c = 7.2809 Å
α = 90.00°, β = 90.00°, γ = 90.00°
Last column: nearest neighbours and their distance in Å.
Element x y z (fractional)
Dy 0.0000 0.5000 0.2366  2 Hg 3.10, 2 Pb 3.21, 1 Dy 3.44
Dy 0.0000 0.5000 0.7634  2 Hg 3.10, 2 Pb 3.21, 1 Dy 3.44
Dy 0.5000 0.0000 0.2366  2 Hg 3.10, 2 Pb 3.21, 1 Dy 3.44
Dy 0.5000 0.0000 0.7634  2 Hg 3.10, 2 Pb 3.21, 1 Dy 3.44
Hg 0.0000 0.0000 0.0000  8 Dy 3.10
Pb 0.5000 0.5000 0.5000  8 Dy 3.21

Output
SG: No. 123
Total moment, Bohr magnetons per cell: 0.00



Entry 6:
VASP calculation (PBE) on a relaxed DyHg2Pb crystal.

a = 4.5784 Å, b = 4.5784 Å, c = 4.8608 Å
α = 90.00°, β = 90.00°, γ = 90.00°
Last column: nearest neighbours and their distance in Å.
Element x y z (fractional)
Dy 0.0000 0.0000 0.0000  4 Pb 3.24, 8 Hg 3.34
Hg 0.0000 0.5000 0.5000  4 Hg 3.24, 4 Pb 3.34, 4 Dy 3.34
Hg 0.5000 0.0000 0.5000  4 Hg 3.24, 4 Pb 3.34, 4 Dy 3.34
Pb 0.5000 0.5000 0.0000  4 Dy 3.24, 8 Hg 3.34

Output
SG: No. 123
Total moment, Bohr magnetons per cell: 0.00



Entry 7:
VASP calculation (PBE) on a relaxed Dy3Hg3Pb4 crystal.

a = 8.9580 Å, b = 8.9580 Å, c = 8.9580 Å
α = 109.47°, β = 109.47°, γ = 109.47°
Last column: nearest neighbours and their distance in Å.
Element x y z (fractional)
Dy 0.1250 0.7500 0.8750  4 Hg 3.17, 4 Pb 3.37
Dy 0.2500 0.6250 0.3750  4 Hg 3.17, 4 Pb 3.37
Dy 0.3750 0.2500 0.6250  4 Hg 3.17, 4 Pb 3.37
Dy 0.6250 0.3750 0.2500  4 Hg 3.17, 4 Pb 3.37
Dy 0.7500 0.8750 0.1250  4 Hg 3.17, 4 Pb 3.37
Dy 0.8750 0.1250 0.7500  4 Hg 3.17, 4 Pb 3.37
Hg 0.1250 0.8750 0.2500  4 Pb 3.00, 4 Dy 3.17
Hg 0.2500 0.1250 0.8750  4 Pb 3.00, 4 Dy 3.17
Hg 0.3750 0.6250 0.7500  4 Pb 3.00, 4 Dy 3.17
Hg 0.6250 0.7500 0.3750  4 Pb 3.00, 4 Dy 3.17
Hg 0.7500 0.3750 0.6250  4 Pb 3.00, 4 Dy 3.17
Hg 0.8750 0.2500 0.1250  4 Pb 3.00, 4 Dy 3.17
Pb 0.0000 0.2942 0.5000  3 Hg 3.00
Pb 0.0000 0.7942 0.5000  3 Hg 3.00
Pb 0.2058 0.2058 0.2058  3 Hg 3.00
Pb 0.2942 0.5000 0.0000  3 Hg 3.00
Pb 0.5000 0.0000 0.2942  3 Hg 3.00
Pb 0.5000 0.0000 0.7942  3 Hg 3.00
Pb 0.7058 0.7058 0.7058  3 Hg 3.00
Pb 0.7942 0.5000 0.0000  3 Hg 3.00

Output
SG: No. 220
Total moment, Bohr magnetons per cell: 0.00



Entry 8:
VASP calculation (PBE) on a relaxed Dy2Hg3Pb crystal.

a = 10.0610 Å, b = 9.3824 Å, c = 6.1263 Å
α = 77.78°, β = 65.70°, γ = 36.52°
Last column: nearest neighbours and their distance in Å.
Element x y z (fractional)
Dy 0.2469 0.7531 0.7531  10 Hg 3.32-3.42, 2 Pb 3.39, 2 Dy 3.45-3.53
Dy 0.2500 0.2500 0.2500  4 Pb 3.40, 8 Hg 3.41-3.42, 2 Dy 3.49
Dy 0.7500 0.7500 0.7500  4 Pb 3.40, 8 Hg 3.41-3.42, 2 Dy 3.49
Dy 0.7531 0.2469 0.2469  10 Hg 3.32-3.42, 2 Pb 3.39, 2 Dy 3.45-3.53
Hg 0.1631 0.1631 0.8369  2 Hg 2.85, 1 Pb 2.98
Hg 0.1643 0.6726 0.3274  2 Hg 2.84-2.85, 1 Pb 2.95
Hg 0.3274 0.8357 0.1643  2 Hg 2.84-2.85, 1 Pb 2.95
Hg 0.6726 0.1643 0.8357  2 Hg 2.84-2.85, 1 Pb 2.95
Hg 0.8357 0.3274 0.6726  2 Hg 2.84-2.85, 1 Pb 2.95
Hg 0.8369 0.8369 0.1631  2 Hg 2.85, 1 Pb 2.98
Pb 0.3342 0.3342 0.6658  3 Hg 2.95-2.98
Pb 0.6658 0.6658 0.3342  3 Hg 2.95-2.98

Output
SG: No. 69
Total moment, Bohr magnetons per cell: 0.00



Entry 9:
VASP calculation (PBE) on a relaxed Dy3Hg3Pb crystal.

a = 9.2589 Å, b = 9.2589 Å, c = 5.0020 Å
α = 90.00°, β = 90.00°, γ = 120.00°
Last column: nearest neighbours and their distance in Å.
Element x y z (fractional)
Dy 0.0994 0.4417 0.2500  4 Hg 3.05-3.37, 2 Pb 3.28
Dy 0.3423 0.9006 0.2500  4 Hg 3.05-3.37, 2 Pb 3.28
Dy 0.4417 0.3423 0.7500  4 Hg 3.05-3.37, 2 Pb 3.28
Dy 0.5583 0.6577 0.2500  4 Hg 3.05-3.37, 2 Pb 3.28
Dy 0.6577 0.0994 0.7500  4 Hg 3.05-3.37, 2 Pb 3.28
Dy 0.9006 0.5583 0.7500  4 Hg 3.05-3.37, 2 Pb 3.28
Hg 0.0346 0.2301 0.7500  4 Dy 3.05-3.37, 4 Hg 3.20
Hg 0.1955 0.9654 0.7500  4 Dy 3.05-3.37, 4 Hg 3.20
Hg 0.2301 0.1955 0.2500  4 Dy 3.05-3.37, 4 Hg 3.20
Hg 0.7699 0.8045 0.7500  4 Dy 3.05-3.37, 4 Hg 3.20
Hg 0.8045 0.0346 0.2500  4 Dy 3.05-3.37, 4 Hg 3.20
Hg 0.9654 0.7699 0.2500  4 Dy 3.05-3.37, 4 Hg 3.20
Pb 0.3333 0.6667 0.7500  9 Dy 3.28-3.61, 3 Hg 3.58
Pb 0.6667 0.3333 0.2500  9 Dy 3.28-3.61, 3 Hg 3.58

Output
SG: No. 176
Total moment, Bohr magnetons per cell: 0.00



Entry 10:
VASP calculation (PBE) on a relaxed DyHg2Pb2 crystal.

a = 12.0849 Å, b = 12.0849 Å, c = 4.7366 Å
α = 90.00°, β = 90.00°, γ = 157.23°
Last column: nearest neighbours and their distance in Å.
Element x y z (fractional)
Dy 0.1373 0.8627 0.7500  4 Hg 3.23-3.24, 8 Pb 3.36-3.59
Dy 0.8627 0.1373 0.2500  4 Hg 3.23-3.24, 8 Pb 3.36-3.59
Hg 0.0437 0.9563 0.2500  8 Hg 3.15-3.36, 2 Dy 3.24, 2 Pb 3.34
Hg 0.4545 0.5455 0.2500  8 Hg 3.19-3.36, 2 Dy 3.23, 2 Pb 3.29
Hg 0.5455 0.4545 0.7500  8 Hg 3.19-3.36, 2 Dy 3.23, 2 Pb 3.29
Hg 0.9563 0.0437 0.7500  8 Hg 3.15-3.36, 2 Dy 3.24, 2 Pb 3.34
Pb 0.2494 0.7506 0.2500  8 Pb 3.36-3.49, 4 Dy 3.56-3.59
Pb 0.3578 0.6422 0.7500  4 Hg 3.29-3.34, 4 Dy 3.36, 4 Pb 3.48-3.49
Pb 0.6422 0.3578 0.2500  4 Hg 3.29-3.34, 4 Dy 3.36, 4 Pb 3.48-3.49
Pb 0.7506 0.2494 0.7500  8 Pb 3.36-3.49, 4 Dy 3.56-3.59

Output
SG: No. 63
Total moment, Bohr magnetons per cell: 0.00



For the records above, the corresponding energy of formation values read -4.813; -5.779; -6.607; -10.731; -3.696; -7.791; -5.956; -7.571; -8.881; -4.989 kcal/mol of atoms.